Entry 1:
A relaxed CeNb6Sn6 crystal, computed with GGA-PBE.

```
CeNb6Sn6
1.0
-2.913 4.819 5.033
2.913 -4.819 5.033
2.913 4.819 -5.033
Ce Nb Sn
1 6 6
Direct
0.000 0.000 0.000 Ce
0.000 0.000 0.500 Nb
0.000 0.500 0.000 Nb
0.252 0.500 0.752 Nb
0.500 0.000 0.000 Nb
0.500 0.500 0.500 Nb
0.748 0.500 0.248 Nb
0.165 0.665 0.500 Sn
0.334 0.334 0.000 Sn
0.336 0.000 0.336 Sn
0.664 0.000 0.664 Sn
0.666 0.666 0.000 Sn
0.835 0.335 0.500 Sn
```

Calculated values
- ΔE_f (eV/atom) = -0.312
- symmetry = Immm, No. 71
- total magnetization (μB per formula unit) = 0.631
- crystal system = orthorhombic

=====

Entry 2:
A relaxed Mg2C crystal, computed with GGA-PBE.

```
Mg2C
1.0
3.503 0.000 0.000
-1.752 3.034 0.000
0.000 0.000 10.904
Mg C
4 2
Direct
0.333 0.667 0.087 Mg
0.333 0.667 0.413 Mg
0.667 0.333 0.587 Mg
0.667 0.333 0.913 Mg
0.000 0.000 0.000 C
0.000 0.000 0.500 C
```

Calculated values
- ΔE_f (eV/atom) = 0.555
- symmetry = P6_3/mmc, No. 194
- total magnetization (μB per formula unit) = 0.000
- crystal system = hexagonal

=====

Entry 3:
A relaxed Cu2PtSe crystal, computed with GGA-PBE.

```
Cu2PtSe
1.0
3.318 0.000 0.000
0.000 3.424 0.000
-0.014 0.000 5.231
Cu Pt Se
2 1 1
Direct
0.001 0.000 0.244 Cu
0.999 0.000 0.756 Cu
0.500 0.500 0.000 Pt
0.500 0.500 0.500 Se
```

Calculated values
- energy relative to the elements, uncorrected (meV per atom) = 60.9
- symmetry = P2/m, No. 10
- total magnetization (μB per formula unit) = 0.000
- crystal system = monoclinic

=====

Entry 4:
A relaxed Dy2ErF8 crystal, computed with GGA-PBE.

```
Dy2ErF8
1.0
7.754 -1.770 0.000
7.754 1.770 0.000
-2.024 0.000 5.227
Dy Er F
2 1 8
Direct
0.179 0.179 0.179 Dy
0.821 0.821 0.821 Dy
0.500 0.500 0.500 Er
0.052 0.052 0.275 F
0.223 0.223 0.829 F
0.318 0.318 0.546 F
0.402 0.402 0.081 F
0.598 0.598 0.919 F
0.682 0.682 0.454 F
0.777 0.777 0.171 F
0.948 0.948 0.725 F
```

Calculated values
- energy relative to the elements, uncorrected (meV per atom) = -3855.2
- symmetry = C2/m, No. 12
- total magnetization (μB per formula unit) = 0.152
- crystal system = monoclinic

=====

Entry 5:
A relaxed Ho5Er8Mg crystal, computed with GGA-PBE.

```
Ho5Er8Mg
1.0
-4.745 4.745 4.924
4.745 -4.745 4.924
4.745 4.745 -4.924
Ho Er Mg
5 8 1
Direct
0.000 0.000 0.000 Ho
0.212 0.315 0.686 Ho
0.475 0.788 0.103 Ho
0.628 0.525 0.314 Ho
0.685 0.372 0.897 Ho
0.157 0.427 0.090 Er
0.336 0.066 0.910 Er
0.418 0.160 0.395 Er
0.573 0.664 0.730 Er
0.766 0.023 0.605 Er
0.840 0.234 0.257 Er
0.934 0.843 0.270 Er
0.977 0.582 0.743 Er
0.250 0.750 0.500 Mg
```

Calculated values
- ΔE_f (eV/atom) = 0.236
- symmetry = I-4, No. 82
- total magnetization (μB per formula unit) = 0.000
- crystal system = tetragonal

=====

Entry 6:
A relaxed Ac2MnAs3Ir4 crystal, computed with GGA-PBE.

```
Ac2MnAs3Ir4
1.0
4.300 0.000 0.000
0.000 4.300 0.000
0.000 0.000 10.580
Ac Mn As Ir
2 1 3 4
Direct
0.000 0.500 0.245 Ac
0.500 0.000 0.755 Ac
0.500 0.500 0.000 Mn
0.000 0.000 0.000 As
0.000 0.500 0.635 As
0.500 0.000 0.365 As
0.000 0.000 0.500 Ir
0.000 0.500 0.870 Ir
0.500 0.000 0.130 Ir
0.500 0.500 0.500 Ir
```

Calculated values
- ΔE_f (eV/atom) = -0.643
- symmetry = P-4m2, No. 115
- total magnetization (μB per formula unit) = 3.671
- crystal system = tetragonal

=====

Entry 7:
A relaxed Mn2BeTe crystal, computed with GGA-PBE.

```
Mn2BeTe
1.0
3.455 0.000 0.000
-1.728 2.992 0.000
0.000 0.000 18.043
Mn Be Te
6 3 3
Direct
0.000 0.000 0.227 Mn
0.000 0.000 0.773 Mn
0.333 0.667 0.439 Mn
0.333 0.667 0.894 Mn
0.667 0.333 0.106 Mn
0.667 0.333 0.561 Mn
0.000 0.000 0.500 Be
0.333 0.667 0.167 Be
0.667 0.333 0.833 Be
0.000 0.000 0.000 Te
0.333 0.667 0.667 Te
0.667 0.333 0.333 Te
```

Calculated values
- energy relative to the elements, uncorrected (meV per atom) = 304.5
- symmetry = R-3m, No. 166
- total magnetization (μB per formula unit) = 5.670
- crystal system = trigonal

=====

Entry 8:
A relaxed ThZnGe2 crystal, computed with GGA-PBE.

```
ThZnGe2
1.0
4.452 0.000 0.000
-2.226 3.855 0.000
0.000 0.000 14.873
Th Zn Ge
3 3 6
Direct
0.000 0.000 0.000 Th
0.333 0.667 0.667 Th
0.667 0.333 0.333 Th
0.000 0.000 0.500 Zn
0.333 0.667 0.167 Zn
0.667 0.333 0.833 Zn
0.000 0.000 0.216 Ge
0.000 0.000 0.784 Ge
0.333 0.667 0.450 Ge
0.333 0.667 0.883 Ge
0.667 0.333 0.117 Ge
0.667 0.333 0.550 Ge
```

Calculated values
- ΔE_f (eV/atom) = -0.300
- symmetry = R-3m, No. 166
- total magnetization (μB per formula unit) = 0.000
- crystal system = trigonal

=====

Entry 9:
A relaxed Si2SbIr crystal, computed with GGA-PBE.

```
Si2SbIr
1.0
4.317 0.000 0.000
0.000 4.566 0.000
0.000 0.000 7.891
Si Sb Ir
4 2 2
Direct
0.000 0.000 0.000 Si
0.000 0.500 0.500 Si
0.500 0.000 0.214 Si
0.500 0.500 0.714 Si
0.500 0.000 0.562 Sb
0.500 0.500 0.062 Sb
0.000 0.000 0.358 Ir
0.000 0.500 0.858 Ir
```

Calculated values
- energy relative to the elements, uncorrected (meV per atom) = -40.0
- symmetry = Amm2, No. 38
- total magnetization (μB per formula unit) = 0.000
- crystal system = orthorhombic

=====

Entry 10:
A relaxed LiMgCdAg crystal, computed with GGA-PBE.

```
LiMgCdAg
1.0
6.671 0.000 0.000
0.000 6.671 0.000
0.000 0.000 6.671
Li Mg Cd Ag
4 4 4 4
Direct
0.000 0.000 0.000 Li
0.000 0.500 0.500 Li
0.500 0.000 0.500 Li
0.500 0.500 0.000 Li
0.250 0.250 0.750 Mg
0.250 0.750 0.250 Mg
0.750 0.250 0.250 Mg
0.750 0.750 0.750 Mg
0.250 0.250 0.250 Cd
0.250 0.750 0.750 Cd
0.750 0.250 0.750 Cd
0.750 0.750 0.250 Cd
0.000 0.000 0.500 Ag
0.000 0.500 0.000 Ag
0.500 0.000 0.000 Ag
0.500 0.500 0.500 Ag
```

Calculated values
- ΔE_f (eV/atom) = -0.221
- symmetry = F-43m, No. 216
- total magnetization (μB per formula unit) = 0.000
- crystal system = cubic

=====

Entry 11:
A relaxed IrI2N2 crystal, computed with GGA-PBE.

```
IrI2N2
1.0
3.991 0.000 0.000
0.000 3.991 0.000
0.000 0.000 8.075
Ir I N
1 2 2
Direct
0.000 0.000 0.000 Ir
0.000 0.000 0.500 I
0.500 0.500 0.500 I
0.000 0.500 0.000 N
0.500 0.000 0.000 N
```

Calculated values
- energy relative to the elements, uncorrected (meV per atom) = 1257.5
- symmetry = P4/mmm, No. 123
- total magnetization (μB per formula unit) = 0.452
- crystal system = tetragonal

=====

Entry 12:
A relaxed YAlTl2 crystal, computed with GGA-PBE.

```
YAlTl2
1.0
6.472 0.000 0.000
0.000 11.038 0.000
-1.876 0.000 2.971
Y Al Tl
2 2 4
Direct
0.000 0.000 0.000 Y
0.500 0.500 0.000 Y
0.000 0.500 0.000 Al
0.500 0.000 0.000 Al
0.250 0.250 0.500 Tl
0.250 0.750 0.500 Tl
0.750 0.250 0.500 Tl
0.750 0.750 0.500 Tl
```

Calculated values
- ΔE_f (eV/atom) = -0.054
- symmetry = C2/m, No. 12
- total magnetization (μB per formula unit) = 0.000
- crystal system = monoclinic

=====

| no. | DOS(E_F) (states/eV per cell) |
| --- | --- |
| 1 | 8.8 |
| 2 | 2.0 |
| 3 | 1.8 |
| 4 | 1.1 |
| 5 | 18.6 |
| 6 | 5.5 |
| 7 | 5.3 |
| 8 | 7.9 |
| 9 | 2.9 |
| 10 | 7.9 |
| 11 | 2.8 |
| 12 | 4.6 |